Record 1
A plane-wave DFT calculation with PBE was carried out for crystalline YHf2PRu at its relaxed geometry.

Results
E_tot: -7.991 eV per atom
calculated formation energy: 0.2203 eV per atom

Cell and atoms, written as CIF:
```
data_YHf2PRu
_cell_length_a 4.861
_cell_length_b 4.861
_cell_length_c 5.455
_cell_angle_alpha 90.00
_cell_angle_beta 90.00
_cell_angle_gamma 90.00
_symmetry_space_group_name_H-M 'P 4/m m m'
_symmetry_Int_Tables_number 123
_symmetry_space_group_name_Hall '-P 4 2'
loop_
_atom_site_label
_atom_site_type_symbol
_atom_site_fract_x
_atom_site_fract_y
_atom_site_fract_z
Y1 Y 0.000 0.000 0.000
Hf1 Hf 0.000 0.500 0.500
P1 P 0.500 0.500 0.000
Ru1 Ru 0.000 0.000 0.500
```



Record 2
A plane-wave DFT calculation with PBE was carried out for crystalline HfPS3 at its relaxed geometry.

Results
E_tot: -5.498 eV per atom
polymorph energy (0 for the lowest one): 0.000 eV/atom
energy relative to the elements, uncorrected: 52 meV/atom

Cell and atoms, written as CIF:
```
data_HfPS3
_cell_length_a 4.920
_cell_length_b 4.920
_cell_length_c 4.920
_cell_angle_alpha 90.00
_cell_angle_beta 90.00
_cell_angle_gamma 90.00
_symmetry_space_group_name_H-M 'P m -3 m'
_symmetry_Int_Tables_number 221
_symmetry_space_group_name_Hall '-P 4 2 3'
loop_
_atom_site_label
_atom_site_type_symbol
_atom_site_fract_x
_atom_site_fract_y
_atom_site_fract_z
Hf1 Hf 0.000 0.000 0.000
P1 P 0.500 0.500 0.500
S1 S 0.000 0.000 0.500
```



Record 3
A plane-wave DFT calculation with PBE was carried out for crystalline Hf4P2S at its relaxed geometry.

Results
E_tot: -8.167 eV per atom
energy relative to the elements, uncorrected: -344 meV/atom

Cell and atoms, written as CIF:
```
data_Hf4P2S
_cell_length_a 4.698
_cell_length_b 4.698
_cell_length_c 13.065
_cell_angle_alpha 90.00
_cell_angle_beta 90.00
_cell_angle_gamma 90.00
_symmetry_space_group_name_H-M 'I 4/m m m'
_symmetry_Int_Tables_number 139
_symmetry_space_group_name_Hall '-I 4 2'
loop_
_atom_site_label
_atom_site_type_symbol
_atom_site_fract_x
_atom_site_fract_y
_atom_site_fract_z
Hf1 Hf 0.000 0.000 0.191
Hf2 Hf 0.000 0.500 0.000
P1 P 0.000 0.000 0.382
S1 S 0.000 0.000 0.000
```



Record 4
A plane-wave DFT calculation with PBE was carried out for crystalline HfPS4 at its relaxed geometry.

Results
E_tot: -6.012 eV per atom
energy relative to the elements, uncorrected: -699 meV/atom

Cell and atoms, written as CIF:
```
data_HfPS4
_cell_length_a 14.500
_cell_length_b 3.455
_cell_length_c 6.237
_cell_angle_alpha 90.00
_cell_angle_beta 114.25
_cell_angle_gamma 90.00
_symmetry_space_group_name_H-M 'C 1 2/m 1'
_symmetry_Int_Tables_number 12
loop_
_symmetry_equiv_pos_as_xyz
'x,y,z'
'-x,-y,-z'
'-x,y,-z'
'x,-y,z'
'x+1/2,y+1/2,z'
'-x+1/2,-y+1/2,-z'
'-x+1/2,y+1/2,-z'
'x+1/2,-y+1/2,z'
loop_
_atom_site_label
_atom_site_type_symbol
_atom_site_fract_x
_atom_site_fract_y
_atom_site_fract_z
Hf1 Hf 0.000 0.000 0.000
P1 P 0.000 0.500 0.500
S1 S 0.102 0.000 0.446
S2 S 0.105 0.500 0.906
```



Record 5
A plane-wave DFT calculation with PBE was carried out for crystalline HfP2S at its relaxed geometry.

Results
E_tot: -6.024 eV per atom
energy relative to the elements, uncorrected: 201 meV/atom

Cell and atoms, written as CIF:
```
data_HfP2S
_cell_length_a 5.501
_cell_length_b 5.501
_cell_length_c 12.208
_cell_angle_alpha 90.00
_cell_angle_beta 90.00
_cell_angle_gamma 90.00
_symmetry_space_group_name_H-M 'I -4 2 d'
_symmetry_Int_Tables_number 122
_symmetry_space_group_name_Hall 'I -4 2bw'
loop_
_atom_site_label
_atom_site_type_symbol
_atom_site_fract_x
_atom_site_fract_y
_atom_site_fract_z
Hf1 Hf 0.000 0.000 0.000
P1 P 0.233 0.250 0.625
S1 S 0.000 0.000 0.500
```



Record 6
A plane-wave DFT calculation with PBE was carried out for crystalline HfPS2 at its relaxed geometry.

Results
E_tot: -6.534 eV per atom
energy relative to the elements, uncorrected: -629 meV/atom

Cell and atoms, written as CIF:
```
data_HfPS2
_cell_length_a 3.4466
_cell_length_b 3.4466
_cell_length_c 23.9930
_cell_angle_alpha 90.00
_cell_angle_beta 90.00
_cell_angle_gamma 120.00
_symmetry_space_group_name_H-M 'R -3 m'
_symmetry_Int_Tables_number 166
_symmetry_space_group_name_Hall '-R 3 2"'
loop_
_atom_site_label
_atom_site_type_symbol
_atom_site_fract_x
_atom_site_fract_y
_atom_site_fract_z
Hf1 Hf 0.0000 0.0000 0.0000
P1 P 0.0000 0.0000 0.5000
S1 S 0.0000 0.0000 0.3992
```



Record 7
A plane-wave DFT calculation with PBE was carried out for crystalline Hf6P2S at its relaxed geometry.

Results
E_tot: -9.257 eV per atom
polymorph energy (0 for the lowest one): 0.000 eV/atom
energy relative to the elements, uncorrected: -960 meV/atom

Cell and atoms, written as CIF:
```
data_Hf6P2S
_cell_length_a 11.518
_cell_length_b 3.493
_cell_length_c 8.357
_cell_angle_alpha 90.00
_cell_angle_beta 91.43
_cell_angle_gamma 90.00
_symmetry_space_group_name_H-M 'C 1 2/m 1'
_symmetry_Int_Tables_number 12
loop_
_symmetry_equiv_pos_as_xyz
'x,y,z'
'-x,-y,-z'
'-x,y,-z'
'x,-y,z'
'x+1/2,y+1/2,z'
'-x+1/2,-y+1/2,-z'
'-x+1/2,y+1/2,-z'
'x+1/2,-y+1/2,z'
loop_
_atom_site_label
_atom_site_type_symbol
_atom_site_fract_x
_atom_site_fract_y
_atom_site_fract_z
Hf1 Hf 0.063 0.000 0.218
Hf2 Hf 0.146 0.500 0.935
Hf3 Hf 0.151 0.500 0.561
P1 P 0.237 0.500 0.246
S1 S 0.000 0.000 0.500
```



Record 8
A plane-wave DFT calculation with PBE was carried out for crystalline Hf4PS at its relaxed geometry.

Results
E_tot: -8.934 eV per atom
energy relative to the elements, uncorrected: -708 meV/atom

Cell and atoms, written as CIF:
```
data_Hf4PS
_cell_length_a 8.326
_cell_length_b 8.326
_cell_length_c 7.174
_cell_angle_alpha 90.00
_cell_angle_beta 90.00
_cell_angle_gamma 90.00
_symmetry_space_group_name_H-M 'I 41 m d'
_symmetry_Int_Tables_number 109
_symmetry_space_group_name_Hall 'I 4bw -2'
loop_
_atom_site_label
_atom_site_type_symbol
_atom_site_fract_x
_atom_site_fract_y
_atom_site_fract_z
Hf1 Hf 0.000 0.205 0.000
Hf2 Hf 0.000 0.207 0.495
P1 P 0.000 0.000 0.746
S1 S 0.000 0.000 0.250
```



Record 9
A plane-wave DFT calculation with PBE was carried out for crystalline Hf3PS at its relaxed geometry.

Results
E_tot: -7.908 eV per atom
polymorph energy (0 for the lowest one): 0.857 eV/atom
energy relative to the elements, uncorrected: -29 meV/atom

Cell and atoms, written as CIF:
```
data_Hf3PS
_cell_length_a 4.700
_cell_length_b 4.700
_cell_length_c 4.700
_cell_angle_alpha 90.00
_cell_angle_beta 90.00
_cell_angle_gamma 90.00
_symmetry_space_group_name_H-M 'P m -3 m'
_symmetry_Int_Tables_number 221
_symmetry_space_group_name_Hall '-P 4 2 3'
loop_
_atom_site_label
_atom_site_type_symbol
_atom_site_fract_x
_atom_site_fract_y
_atom_site_fract_z
Hf1 Hf 0.000 0.000 0.500
P1 P 0.500 0.500 0.500
S1 S 0.000 0.000 0.000
```



Record 10
A plane-wave DFT calculation with PBE was carried out for crystalline HfPS2 at its relaxed geometry.

Results
E_tot: -6.212 eV per atom
energy relative to the elements, uncorrected: -308 meV/atom

Cell and atoms, written as CIF:
```
data_HfPS2
_cell_length_a 6.800
_cell_length_b 6.800
_cell_length_c 6.107
_cell_angle_alpha 90.00
_cell_angle_beta 90.00
_cell_angle_gamma 90.00
_symmetry_space_group_name_H-M 'I -4 2 d'
_symmetry_Int_Tables_number 122
_symmetry_space_group_name_Hall 'I -4 2bw'
loop_
_atom_site_label
_atom_site_type_symbol
_atom_site_fract_x
_atom_site_fract_y
_atom_site_fract_z
Hf1 Hf 0.000 0.000 0.000
P1 P 0.000 0.000 0.500
S1 S 0.245 0.250 0.625
```



Which formula does entry 5 have? HfP2S



E_tot of number 2 (HfPS3)? -5.498 eV per atom



Which formula does entry 4 have? HfPS4